Entry 1:
# SmTmNpO6

A relaxed SmTmNpO6 crystal (PBE-GGA, the Alexandria database).

Unit cell a=5.7114 b=5.7114 c=9.6805 alpha=90.00 beta=90.00 gamma=120.00
Space group P-31c (No. 163)
Asymmetric unit:
1 Sm 0.0000 0.0000 0.0000 (multiplicity 2)
2 Tm 0.3333 0.6667 0.2500 (multiplicity 2)
3 Np 0.3333 0.6667 0.7500 (multiplicity 2)
4 O 0.0206 0.3605 0.6365 (multiplicity 12)

- magnetization (μB per cell) = 2.000
- raw total energy (eV/atom) = -8.99
- formation energy without anion corrections (meV per atom) = -3220.6

Entry 2:
# NaAc2As3Rh12

A relaxed NaAc2As3Rh12 crystal (PBE-GGA, the Alexandria database).

Unit cell a=9.2050 b=9.2050 c=13.0564 alpha=90.00 beta=90.00 gamma=120.00
Space group R-3m (No. 166, hexagonal axes)
Asymmetric unit:
1 Na 0.0000 0.0000 0.0000 (multiplicity 3)
2 Ac 0.0000 0.0000 0.3550 (multiplicity 6)
3 As 0.0000 0.5000 0.5000 (multiplicity 9)
4 Rh 0.0033 0.5017 0.6819 (multiplicity 18)
5 Rh 0.0117 0.5058 0.8834 (multiplicity 18)

- magnetization (μB per cell) = 0.000
- raw total energy (eV/atom) = -6.30
- E_form (eV per atom) = -0.098

Entry 3:
# Zr2CoAuC

A relaxed Zr2CoAuC crystal (PBE-GGA, the Alexandria database).

Unit cell a=4.6109 b=4.6109 c=3.7421 alpha=90.00 beta=90.00 gamma=90.00
Space group P4/mmm (No. 123)
Asymmetric unit:
1 Zr 0.0000 0.5000 0.0000 (multiplicity 2)
2 Co 0.0000 0.0000 0.5000 (multiplicity 1)
3 Au 0.5000 0.5000 0.5000 (multiplicity 1)
4 C 0.0000 0.0000 0.0000 (multiplicity 1)

- magnetization (μB per cell) = 0.029
- raw total energy (eV/atom) = -7.80
- E_form (eV per atom) = -0.455

Entry 4:
# As2Ir2Au

A relaxed As2Ir2Au crystal (PBE-GGA, the Alexandria database).

Unit cell a=3.9515 b=3.9515 c=11.3861 alpha=90.00 beta=90.00 gamma=90.00
Space group I4/mmm (No. 139)
Asymmetric unit:
1 As 0.0000 0.5000 0.2500 (multiplicity 4)
2 Ir 0.0000 0.0000 0.1179 (multiplicity 4)
3 Au 0.0000 0.0000 0.5000 (multiplicity 2)

- magnetization (μB per cell) = 0.000
- raw total energy (eV/atom) = -5.91
- E_form (eV per atom) = 0.148
- ΔE to the lowest computed polymorph (meV/atom) = 14

Entry 5:
# Ho5Sc3

A relaxed Ho5Sc3 crystal (PBE-GGA, the Alexandria database).

Unit cell a=3.5062 b=5.4370 c=12.0762 alpha=90.00 beta=90.00 gamma=90.00
Space group Pmm2 (No. 25)
Asymmetric unit:
1 Ho 0.0000 0.0000 0.0000 (multiplicity 1)
2 Ho 0.0000 0.0000 0.4776 (multiplicity 1)
3 Ho 0.0000 0.5000 0.8282 (multiplicity 1)
4 Ho 0.5000 0.0000 0.7383 (multiplicity 1)
5 Ho 0.5000 0.5000 0.5640 (multiplicity 1)
6 Sc 0.0000 0.5000 0.3124 (multiplicity 1)
7 Sc 0.5000 0.0000 0.2379 (multiplicity 1)
8 Sc 0.5000 0.5000 0.0805 (multiplicity 1)

- magnetization (μB per cell) = 0.433
- raw total energy (eV/atom) = -5.21
- E_form (eV per atom) = 0.025

Entry 6:
# NpInCl4

A relaxed NpInCl4 crystal (PBE-GGA, the Alexandria database).

Unit cell a=6.7669 b=7.5405 c=9.0170 alpha=74.81 beta=68.33 gamma=89.98
Space group P-1 (No. 2)
Asymmetric unit:
1 Np 0.0000 0.0000 0.0000 (multiplicity 1)
2 Np 0.5000 0.5000 0.0000 (multiplicity 1)
3 In 0.2294 0.7468 0.5053 (multiplicity 2)
4 Cl 0.0061 0.9704 0.3032 (multiplicity 2)
5 Cl 0.1968 0.4692 0.3047 (multiplicity 2)
6 Cl 0.2390 0.3398 0.8853 (multiplicity 2)
7 Cl 0.3732 0.8392 0.8853 (multiplicity 2)

- magnetization (μB per cell) = 8.000
- raw total energy (eV/atom) = -5.26
- formation energy without anion corrections (meV per atom) = -1413.2
- ΔE to the lowest computed polymorph (meV/atom) = 0

Copy entry 2 word for word.
# NaAc2As3Rh12

A relaxed NaAc2As3Rh12 crystal (PBE-GGA, the Alexandria database).

Unit cell a=9.2050 b=9.2050 c=13.0564 alpha=90.00 beta=90.00 gamma=120.00
Space group R-3m (No. 166, hexagonal axes)
Asymmetric unit:
1 Na 0.0000 0.0000 0.0000 (multiplicity 3)
2 Ac 0.0000 0.0000 0.3550 (multiplicity 6)
3 As 0.0000 0.5000 0.5000 (multiplicity 9)
4 Rh 0.0033 0.5017 0.6819 (multiplicity 18)
5 Rh 0.0117 0.5058 0.8834 (multiplicity 18)

- magnetization (μB per cell) = 0.000
- raw total energy (eV/atom) = -6.30
- E_form (eV per atom) = -0.098

What is the formula in the fifth record? Ho5Sc3

Copy entry 4 word for word.
# As2Ir2Au

A relaxed As2Ir2Au crystal (PBE-GGA, the Alexandria database).

Unit cell a=3.9515 b=3.9515 c=11.3861 alpha=90.00 beta=90.00 gamma=90.00
Space group I4/mmm (No. 139)
Asymmetric unit:
1 As 0.0000 0.5000 0.2500 (multiplicity 4)
2 Ir 0.0000 0.0000 0.1179 (multiplicity 4)
3 Au 0.0000 0.0000 0.5000 (multiplicity 2)

- magnetization (μB per cell) = 0.000
- raw total energy (eV/atom) = -5.91
- E_form (eV per atom) = 0.148
- ΔE to the lowest computed polymorph (meV/atom) = 14

Which formula does entry 3 have? Zr2CoAuC